CsInSb2 | PBE-GGA | optimized geometry

```
CsInSb2
1.0
4.102 0.000 0.000
2.051 3.552 0.000
2.051 1.184 9.978
Cs Sb In
1 2 1
Cartesian
4.102 2.368 4.989
2.051 1.184 1.873
6.153 3.552 8.106
0.000 0.000 0.000
```

Results
Calculated volume: 145.4 Å³ per cell
Formation energy from raw total energies: -6 kJ/mol of formula units
Energy: -2.97 eV per atom

---

BeCdCu2 | PBE-GGA | optimized geometry

```
BeCdCu2
1.0
-3.180 0.668 3.482
-3.084 -2.163 2.915
1.869 -0.714 3.883
Be Cu Cd
1 2 1
Cartesian
-2.024 -1.093 5.110
1.711 -0.705 3.808
-3.450 -1.686 7.827
-0.961 -0.545 2.557
```

Results
Calculated volume: 53.5 Å³ per cell
ΔE_f: 150 meV per atom
Energy: -3.06 eV per atom
Energy relative to the lowest polymorph listed for this composition: 0.133 eV/atom

---

Fe2AsW | PBE-GGA | optimized geometry

```
Fe2AsW
1.0
3.052 0.000 0.000
0.000 3.052 0.000
0.000 0.000 5.779
As Fe W
1 2 1
Cartesian
1.526 1.526 4.489
0.000 0.000 0.029
1.526 1.526 1.313
0.000 0.000 2.838
```

Results
Calculated volume: 53.8 Å³ per cell
ΔE_f: 176 meV per atom
Energy: -8.46 eV per atom

---

V3Ga4Fe | PBE-GGA | optimized geometry

```
V3Ga4Fe
1.0
5.311 0.000 0.000
0.000 5.368 0.000
0.000 0.000 7.788
V Ga Fe
6 8 2
Cartesian
4.326 2.684 0.000
0.342 3.970 1.948
2.998 1.398 1.946
1.670 2.684 3.894
2.998 1.398 5.841
0.342 3.970 5.840
1.670 2.684 0.000
1.670 5.368 0.000
0.342 1.301 1.947
2.998 4.067 1.947
4.325 0.000 3.894
4.325 2.684 3.894
2.998 4.067 5.841
0.342 1.301 5.841
4.326 5.368 0.000
1.670 0.000 3.894
```

Results
Calculated volume: 222.0 Å³ per cell
ΔE_f: -116 meV per atom
Energy: -6.11 eV per atom

---

La2SmAg2 | PBE-GGA | optimized geometry

```
La2SmAg2
1.0
5.167 0.000 0.000
0.000 6.666 -0.456
0.000 -3.136 8.695
La Sm Ag
4 2 4
Cartesian
1.292 2.440 7.234
3.875 1.090 1.005
1.292 0.789 3.789
3.875 2.742 4.450
1.292 3.948 1.952
3.875 -0.418 6.287
1.292 4.615 4.893
3.875 -1.084 3.346
1.292 -0.808 8.055
3.875 4.339 0.184
```

Results
Calculated volume: 292.1 Å³ per cell
ΔE_f: -181 meV per atom
Energy: -4.24 eV per atom
Energy relative to the lowest polymorph listed for this composition: 0.002 eV/atom

---

Mg6CuAg10 | PBE-GGA | optimized geometry

```
Mg6CuAg10
1.0
5.699 0.000 0.000
0.000 6.937 -4.005
0.000 0.000 8.010
Mg Cu Ag
6 1 10
Cartesian
3.841 2.365 1.365
3.841 0.000 5.279
3.841 4.572 -2.640
1.858 4.572 2.640
1.858 0.000 2.730
1.858 2.365 -1.365
2.850 0.000 0.000
4.736 4.802 2.773
4.736 0.000 2.465
4.736 2.134 -1.232
0.963 2.134 1.232
0.963 0.000 5.545
0.963 4.802 -2.773
2.850 2.312 4.005
2.850 4.624 0.000
0.000 4.624 0.000
0.000 2.312 4.005
```

Results
Calculated volume: 316.6 Å³ per cell
ΔE_f: -96 meV per atom
Energy: -2.58 eV per atom